1.
Computed, not measured: Fe2HgPb after structural relaxation at the PBE level of DFT.

POSCAR file:
```
Fe2HgPb
1.0
-1.4017 -4.4757 1.7496
0.6895 -4.9355 -0.4713
3.9632 -2.2701 4.2021
Fe Pb Hg
2 1 1
direct
0.9858 0.9858 0.9053
0.5142 0.5142 0.5947
0.2500 0.2500 0.2500
0.7500 0.7500 0.7500
```

Output
Its crystal system is monoclinic. The offset from the most stable computed form is 154 meV/atom. Its density of states at the Fermi level is 2.3 states/eV/f.u.

***

2.
Computed, not measured: Fe2HgPb after structural relaxation at the PBE level of DFT.

POSCAR file:
```
Fe2HgPb
1.0
-0.4005 5.6704 1.9856
-4.1664 3.9998 -1.7023
1.4385 -5.3100 2.4476
Pb Hg Fe
1 1 2
direct
0.2227 0.7227 0.5000
0.5039 0.5039 0.0000
0.9709 0.9709 0.0000
0.8024 0.3024 0.5000
```

Output
Its crystal system is orthorhombic. The offset from the most stable computed form is 108 meV/atom. Its density of states at the Fermi level is 2.8 states/eV/f.u.

***

Formation energy from the elements, respectively: 0.512; 0.467 eV/atom.
E, respectively: -4.7215; -4.7673 eV/atom.